First-principles (PBEsol) data for a relaxed LiZn2Hg crystal, as listed in Alexandria via LeMat-Bulk.

Properties
- space-group type = C2/m (12)

Cell: 3.0923 4.5913 4.8329 Å, 101.26 108.66 90.00°
Atoms (fractional coordinates):
Zn 0.2539 0.2636 0.5077
Zn 0.7461 0.7364 0.4923
Hg 0.5000 0.0000 0.0000
Li 0.0000 0.5000 0.0000

First-principles (PBEsol) data for a relaxed LiZn2Hg crystal, as listed in Alexandria via LeMat-Bulk.

Properties
- space-group type = I-4m2 (119)

Cell: 4.2227 4.6012 4.2227 Å, 62.69 90.00 117.31°
Atoms (fractional coordinates):
Zn 0.0000 0.0000 0.0000
Zn 0.7500 0.5000 0.7500
Hg 0.5000 0.0000 0.5000
Li 0.2500 0.5000 0.2500

First-principles (PBEsol) data for a relaxed Li4ZnHg crystal, as listed in Alexandria via LeMat-Bulk.

Properties
- space-group type = F-43m (216)

Cell: 5.0496 5.0496 5.0496 Å, 60.00 60.00 60.00°
Atoms (fractional coordinates):
Hg 0.0000 0.0000 0.0000
Li 0.3749 0.3749 0.3749
Li 0.3749 0.3749 0.8753
Li 0.8753 0.3749 0.3749
Li 0.3749 0.8753 0.3749
Zn 0.7500 0.7500 0.7500

Per-record E_form, meV per atom: -130, -171, -54
Per-record final energy, eV per atom: -1.554, -1.595, -1.724